The following is a PBE calculation of a relaxed ThPaTeRu crystal, from the Alexandria database.

Unit cell a=4.0477 b=4.0477 c=23.2202 alpha=90.00 beta=90.00 gamma=120.00
Last column: nearest neighbours and their distance in Å.
Positions (direct):
Th  0.0000  0.0000  0.0000  3 Ru 2.92
Th  0.3333  0.6667  0.6667  3 Ru 2.92
Th  0.6667  0.3333  0.3333  3 Ru 2.92
Pa  0.0000  0.0000  0.8003  3 Ru 2.70
Pa  0.3333  0.6667  0.4670  3 Ru 2.70
Pa  0.6667  0.3333  0.1337  3 Ru 2.70
Te  0.0000  0.0000  0.2311  3 Pa 3.25, 3 Th 3.33
Te  0.3333  0.6667  0.8978  3 Pa 3.25, 3 Th 3.33
Te  0.6667  0.3333  0.5644  3 Pa 3.25, 3 Th 3.33
Ru  0.0000  0.0000  0.4089  3 Pa 2.70, 3 Th 2.92
Ru  0.3333  0.6667  0.0756  3 Pa 2.70, 3 Th 2.92
Ru  0.6667  0.3333  0.7423  3 Pa 2.70, 3 Th 2.92

Computed properties:
For the energy relative to the elements, uncorrected, the calculation gives -0.723 eV/atom. As for the crystal system: trigonal. As for the uncorrected energy: -96.7 eV/cell. The value obtained for the density is 10.5 Mg/m³.

The following is a PBE calculation of a relaxed Er8Tl5Cd crystal, from the Alexandria database.

Unit cell a=8.0165 b=8.0165 c=8.0165 alpha=109.49 beta=109.49 gamma=109.43
Last column: nearest neighbours and their distance in Å.
Positions (direct):
Er  0.1110  0.3693  0.0999  5 Tl 3.10-3.28, 1 Cd 3.39
Er  0.1291  0.3865  0.6050  5 Tl 3.10-3.36, 1 Cd 3.11, 1 Er 3.46
Er  0.2695  0.0112  0.9001  5 Tl 3.10-3.28, 1 Cd 3.39
Er  0.4760  0.8709  0.2575  5 Tl 3.10-3.36, 1 Cd 3.11, 1 Er 3.46
Er  0.6135  0.2185  0.7425  5 Tl 3.10-3.36, 1 Cd 3.11, 1 Er 3.46
Er  0.6307  0.7305  0.7417  5 Tl 3.10-3.28, 1 Cd 3.39
Er  0.7815  0.5240  0.3950  5 Tl 3.10-3.36, 1 Cd 3.11, 1 Er 3.46
Er  0.9888  0.8890  0.2583  5 Tl 3.10-3.28, 1 Cd 3.39
Tl  0.2500  0.7500  0.5000  8 Er 3.11-3.23
Tl  0.3817  0.2605  0.3759  8 Er 3.10-3.36
Tl  0.7395  0.1153  0.1212  8 Er 3.10-3.36
Tl  0.8847  0.0058  0.6241  8 Er 3.10-3.36
Tl  0.9942  0.6183  0.8788  8 Er 3.10-3.36
Cd  0.5000  0.5000  0.0000  8 Er 3.11-3.39

Computed properties:
As for the crystal system: tetragonal. As for the uncorrected energy: -52.1 eV/cell. The value obtained for the density is 10.4 Mg/m³. Its energy relative to the elements is -0.20 eV/atom.